(1)
The following is a DFT calculation (GGA-PBE) of a relaxed LaCr2Cl crystal.

Lattice parameters (Å, degrees): 9.4160 9.4160 9.4160 20.73 20.73 20.73
With the nearest neighbours (Å) after each atom.
Atoms (fractional coordinates):
Cr: 0.0121 0.0121 0.0121  3 Cl 2.78
Cr: 0.4879 0.4879 0.4879  3 Cl 2.78
Cl: 0.7500 0.7500 0.7500  6 Cr 2.78
La: 0.2500 0.2500 0.2500  6 Cr 3.28, 6 La 3.39

formation energy (no corrections)	37.4	kJ per mole of atoms
crystal system	trigonal
size of the total moment	8.12	Bohr magnetons per cell



(2)
The following is a DFT calculation (GGA-PBE) of a relaxed LaCr2Cl crystal.

Lattice parameters (Å, degrees): 6.3885 6.3885 6.3885 142.58 142.58 53.95
With the nearest neighbours (Å) after each atom.
Atoms (fractional coordinates):
Cr: 0.0000 0.0000 0.0000  4 Cr 2.90
Cr: 0.5000 0.5000 0.0000  4 Cr 2.90
Cl: 0.7500 0.2500 0.5000  4 La 2.90
La: 0.2500 0.7500 0.5000  4 Cl 2.90

formation energy (no corrections)	23.5	kJ per mole of atoms
crystal system	tetragonal
size of the total moment	8.93	Bohr magnetons per cell



(3)
The following is a DFT calculation (GGA-PBE) of a relaxed LaCr2Cl crystal.

Lattice parameters (Å, degrees): 5.2443 5.2443 5.2443 60.00 60.00 60.00
With the nearest neighbours (Å) after each atom.
Atoms (fractional coordinates):
Cr: 0.2500 0.2500 0.2500  4 Cl 3.21, 4 La 3.21
Cr: 0.7500 0.7500 0.7500  4 Cl 3.21, 4 La 3.21
Cl: 0.0000 0.0000 0.0000  8 Cr 3.21
La: 0.5000 0.5000 0.5000  8 Cr 3.21

formation energy (no corrections)	72.8	kJ per mole of atoms
crystal system	cubic
size of the total moment	10.05	Bohr magnetons per cell



(4)
The following is a DFT calculation (GGA-PBE) of a relaxed LaCr2Cl crystal.

Lattice parameters (Å, degrees): 6.0026 6.0026 4.9409 70.82 70.82 30.11
With the nearest neighbours (Å) after each atom.
Atoms (fractional coordinates):
Cr: 0.0177 0.0177 0.0922  2 Cr 2.14
Cr: 0.4823 0.4823 0.4078  2 Cr 2.14
Cl: 0.7500 0.7500 0.7500  4 La 2.92, 4 Cr 3.07, 2 Cl 3.12
La: 0.2500 0.2500 0.2500  4 Cl 2.92, 2 Cr 3.05, 2 La 3.12

formation energy (no corrections)	26.1	kJ per mole of atoms
crystal system	monoclinic
size of the total moment	0.00	Bohr magnetons per cell



(5)
The following is a DFT calculation (GGA-PBE) of a relaxed LaCr2Cl crystal.

Lattice parameters (Å, degrees): 5.0328 5.0328 5.0328 60.00 60.00 60.00
With the nearest neighbours (Å) after each atom.
Atoms (fractional coordinates):
Cr: 0.0000 0.0000 0.0000  4 Cr 3.08, 4 La 3.08
Cr: 0.2500 0.2500 0.2500  4 Cl 3.08, 4 Cr 3.08
Cl: 0.5000 0.5000 0.5000  4 La 3.08, 4 Cr 3.08
La: 0.7500 0.7500 0.7500  4 Cr 3.08, 4 Cl 3.08

formation energy (no corrections)	21.7	kJ per mole of atoms
crystal system	cubic
size of the total moment	0.47	Bohr magnetons per cell



(6)
The following is a DFT calculation (GGA-PBE) of a relaxed LaCr2MoCl crystal.

Lattice parameters (Å, degrees): 5.7367 4.8657 5.7367 90.00 90.00 90.00
With the nearest neighbours (Å) after each atom.
Atoms (fractional coordinates):
Cr: 0.0000 0.0000 0.5000  2 La 2.87
Cr: 0.5000 0.0000 0.0000  2 La 2.87
Mo: 0.0000 0.5000 0.0000  2 La 2.43
Cl: 0.5000 0.5000 0.5000  8 Cr 3.76, 4 Mo 4.06
La: 0.0000 0.0000 0.0000  2 Mo 2.43

formation energy (no corrections)	187.9	kJ per mole of atoms
crystal system	tetragonal
size of the total moment	8.58	Bohr magnetons per cell



How do the records compare in volume? In the order shown, they have 91.6; 95.6; 102.0; 84.0; 90.1; 160.1 Å³/cell.
How do the records compare in N(E_F)? In the order shown, they have 1.780; 2.920; 1.681; 3.518; 2.842; 2.986 states/eV/f.u..